No. 1
MgPb (PBE-GGA, relaxed); D(E_F) = 5.9 states/eV per cell
1.0
-4.668 4.668 4.668
4.668 -4.668 4.668
4.668 4.668 -4.668
Mg Pb
4 4
Cartesian
2.901 2.901 -2.901 Mg
2.901 -2.901 2.901 Mg
1.767 1.767 1.767 Mg
-2.901 2.901 2.901 Mg
1.192 1.192 -1.192 Pb
1.192 -1.192 1.192 Pb
-1.192 1.192 1.192 Pb
3.476 3.476 3.476 Pb

No. 2
Mg3Pb (PBE-GGA, relaxed); D(E_F) = 2.6 states/eV per cell
1.0
-2.291 2.291 9.193
2.291 -2.291 9.193
2.291 2.291 -9.193
Mg Pb
6 2
Cartesian
2.291 0.000 0.000 Mg
0.000 0.000 2.280 Mg
2.291 0.000 4.596 Mg
0.000 2.291 0.000 Mg
0.000 2.291 4.596 Mg
0.000 0.000 16.105 Mg
0.000 0.000 6.897 Pb
0.000 0.000 11.488 Pb

No. 3
MgPb2 (PBE-GGA, relaxed); D(E_F) = 2.6 states/eV per cell; polymorph energy (0 for the lowest one) = 35 meV/atom
1.0
5.381 -2.895 0.000
5.381 2.895 0.000
0.000 0.000 5.492
Mg Pb
2 4
Cartesian
5.381 1.870 4.119 Mg
5.381 -1.870 1.373 Mg
3.679 1.074 1.373 Pb
7.082 1.074 1.373 Pb
3.679 -1.074 4.119 Pb
7.082 -1.074 4.119 Pb

No. 4
MgPb (PBE-GGA, relaxed); D(E_F) = 0.7 states/eV per cell
1.0
3.597 0.000 0.000
-1.799 3.115 0.000
0.000 0.000 4.801
Mg Pb
1 1
Cartesian
0.000 0.000 0.000 Mg
1.799 1.038 2.400 Pb

No. 5
MgPb (PBE-GGA, relaxed); D(E_F) = 6.4 states/eV per cell
1.0
8.783 0.000 0.000
-4.391 7.606 0.000
0.000 0.000 5.205
Mg Pb
6 6
Cartesian
-0.635 1.771 1.301 Mg
-2.540 7.271 1.301 Mg
1.216 1.436 3.904 Mg
3.176 6.171 1.301 Mg
6.932 0.335 3.904 Mg
5.027 5.835 3.904 Mg
-1.207 3.540 3.904 Pb
-0.722 6.882 3.904 Pb
2.462 2.816 1.301 Pb
1.929 4.790 3.904 Pb
5.113 0.725 1.301 Pb
5.599 4.066 1.301 Pb

No. 6
MgPb2 (PBE-GGA, relaxed); D(E_F) = 2.9 states/eV per cell; polymorph energy (0 for the lowest one) = 37 meV/atom
1.0
6.577 -1.724 0.000
6.577 1.724 0.000
-1.723 0.000 7.554
Mg Pb
2 4
Cartesian
0.000 0.000 0.000 Mg
8.334 0.000 2.675 Mg
3.598 0.000 0.712 Pb
3.372 0.000 5.087 Pb
6.909 0.000 5.697 Pb
12.142 0.000 2.965 Pb

Formation enthalpy at 0 K for the records above, in order: 446, -49, 1, -20, 38, 4 meV per atom